Record 1
Density functional theory data (PBE-GGA) for an optimized crystal structure of HfReSN2.

a = 3.848 Å, b = 3.848 Å, c = 4.818 Å
α = 90.00°, β = 90.00°, γ = 90.00°
Positions (direct):
Re  0.000  0.000  0.000
S  0.000  0.000  0.500
Hf  0.500  0.500  0.500
N  0.000  0.500  0.000
N  0.500  0.000  0.000

Summary:
Total DFT energy (no corrections)   -8.458 eV/atom
Space group   P4/mmm, No. 123
Polymorph energy (0 for the lowest one)   0 meV per atom
Volume   71.4 Å³ per cell

---

Record 2
Density functional theory data (PBE-GGA) for an optimized crystal structure of PmDyPb.

a = 4.890 Å, b = 4.446 Å, c = 16.581 Å
α = 90.00°, β = 90.00°, γ = 90.00°
Positions (direct):
Pm  0.250  0.498  0.076
Pm  0.750  0.998  0.424
Pm  0.250  0.002  0.576
Pm  0.750  0.502  0.924
Dy  0.750  0.498  0.252
Dy  0.250  0.998  0.248
Dy  0.750  0.002  0.752
Dy  0.250  0.502  0.748
Pb  0.750  0.999  0.104
Pb  0.250  0.499  0.396
Pb  0.750  0.501  0.604
Pb  0.250  0.001  0.896

Summary:
Total DFT energy (no corrections)   -4.760 eV/atom
Space group   Pnma, No. 62
Polymorph energy (0 for the lowest one)   39 meV per atom
Volume   360.5 Å³ per cell
Formation enthalpy at 0 K   -0.407 eV/atom

---

Record 3
Density functional theory data (PBE-GGA) for an optimized crystal structure of TbDy7Er2.

a = 5.401 Å, b = 8.823 Å, c = 9.401 Å
α = 117.95°, β = 106.68°, γ = 52.22°
Positions (direct):
Tb  0.000  0.000  0.000
Dy  0.000  0.800  0.601
Dy  0.000  0.200  0.399
Dy  0.750  0.640  0.781
Dy  0.250  0.360  0.219
Dy  0.751  0.859  0.219
Dy  0.249  0.141  0.781
Dy  0.500  0.500  0.000
Er  0.500  0.700  0.399
Er  0.500  0.300  0.601

Summary:
Total DFT energy (no corrections)   -4.547 eV/atom
Space group   Immm, No. 71
Polymorph energy (0 for the lowest one)   0 meV per atom
Volume   312.8 Å³ per cell
Formation enthalpy at 0 K   0.050 eV/atom

---

Record 4
Density functional theory data (PBE-GGA) for an optimized crystal structure of HoPaI2.

a = 3.644 Å, b = 3.644 Å, c = 11.034 Å
α = 80.50°, β = 80.50°, γ = 60.00°
Positions (direct):
I  0.097  0.097  0.708
I  0.903  0.903  0.292
Pa  0.000  0.000  0.000
Ho  0.500  0.500  0.500

Summary:
Total DFT energy (no corrections)   -4.563 eV/atom
Space group   R-3m, No. 166
Volume   124.5 Å³ per cell

---

Record 5
Density functional theory data (PBE-GGA) for an optimized crystal structure of RbLa2Cr.

a = 7.994 Å, b = 7.994 Å, c = 7.944 Å
α = 59.79°, β = 59.79°, γ = 90.00°
Positions (direct):
Cr  0.500  0.500  0.000
Cr  0.250  0.750  0.500
Rb  0.000  0.000  0.000
Rb  0.750  0.250  0.500
La  0.409  0.125  0.250
La  0.341  0.625  0.250
La  0.375  0.591  0.750
La  0.875  0.659  0.750

Summary:
Total DFT energy (no corrections)   -4.430 eV/atom
Space group   I-42d, No. 122
Polymorph energy (0 for the lowest one)   0 meV per atom
Volume   356.7 Å³ per cell
Formation enthalpy at 0 K   0.682 eV/atom

---

Record 6
Density functional theory data (PBE-GGA) for an optimized crystal structure of TaAsP.

a = 7.586 Å, b = 7.430 Å, c = 2.939 Å
α = 81.71°, β = 75.74°, γ = 22.54°
Positions (direct):
As  0.033  0.033  0.967
P  0.295  0.295  0.705
Ta  0.672  0.672  0.328

Summary:
Total DFT energy (no corrections)   -7.411 eV/atom
Space group   Fmm2, No. 42
Polymorph energy (0 for the lowest one)   323 meV per atom
Volume   60.0 Å³ per cell
Formation enthalpy at 0 K   -0.107 eV/atom

---

Record 7
Density functional theory data (PBE-GGA) for an optimized crystal structure of Ti3PtO.

a = 2.962 Å, b = 5.116 Å, c = 5.116 Å
α = 99.58°, β = 90.00°, γ = 90.00°
Positions (direct):
O  0.500  0.008  0.992
Pt  0.000  0.614  0.386
Ti  0.500  0.174  0.351
Ti  0.500  0.649  0.826
Ti  0.000  0.184  0.816

Summary:
Total DFT energy (no corrections)   -8.123 eV/atom
Space group   Amm2, No. 38
Volume   76.5 Å³ per cell

---

Record 8
Density functional theory data (PBE-GGA) for an optimized crystal structure of Ac2ScAl4Zn3.

a = 4.476 Å, b = 4.476 Å, c = 11.345 Å
α = 90.00°, β = 90.00°, γ = 90.00°
Positions (direct):
Ac  0.500  0.000  0.238
Ac  0.000  0.500  0.762
Sc  0.500  0.500  0.500
Al  0.500  0.500  0.000
Al  0.000  0.000  0.000
Al  0.500  0.000  0.647
Al  0.000  0.500  0.353
Zn  0.000  0.000  0.500
Zn  0.500  0.000  0.876
Zn  0.000  0.500  0.124

Summary:
Total DFT energy (no corrections)   -3.674 eV/atom
Space group   P-4m2, No. 115
Volume   227.3 Å³ per cell
Formation enthalpy at 0 K   -0.340 eV/atom